[1]
ReSb4Mo: optimized geometry, PBE-GGA.

Values from the calculation:
* N(E_F): 0.836 states/eV/atom
* uncorrected energy: -5.020 eV per atom
* formation energy without anion corrections: 1.61 eV/atom

Unit cell a=8.3821 b=8.3821 c=8.3821 alpha=90.00 beta=90.00 gamma=90.00
Last column: nearest neighbours and their distance in Å.
Space group F-43m (No. 216)
Symmetry-distinct sites (fractional):
Re1 0.0000 0.0000 0.0000 [4 per cell]  12 Sb 3.47, 4 Mo 3.63
Sb1 0.1252 0.1252 0.6252 [16 per cell]  6 Sb 2.96-2.97
Mo1 0.2500 0.2500 0.2500 [4 per cell]  12 Sb 3.48, 4 Re 3.63

[2]
Tb4GaRh3: optimized geometry, PBE-GGA.

Values from the calculation:
* ΔE_f: -0.7797 eV per atom
* N(E_F): 0.497 states/eV/atom
* uncorrected energy: -6.230 eV per atom

Unit cell a=3.7540 b=4.4055 c=10.6519 alpha=90.00 beta=90.00 gamma=90.00
Last column: nearest neighbours and their distance in Å.
Space group Pmm2 (No. 25)
Symmetry-distinct sites (fractional):
Tb1 0.0000 0.0000 0.0000 [1 per cell]  6 Rh 2.93-2.99, 1 Ga 3.19
Tb2 0.0000 0.5000 0.2686 [1 per cell]  7 Rh 2.94-3.12
Tb3 0.5000 0.0000 0.4800 [1 per cell]  5 Rh 2.78-3.02, 2 Ga 3.00
Tb4 0.5000 0.5000 0.7760 [1 per cell]  3 Rh 2.82-2.96, 4 Ga 3.00
Ga1 0.0000 0.0000 0.7003 [1 per cell]  2 Rh 2.65
Rh1 0.0000 0.5000 0.5613 [1 per cell]  2 Ga 2.65, 2 Tb 2.96
Rh2 0.5000 0.0000 0.2188 [1 per cell]  7 Tb 2.78-2.99, 2 Rh 2.90
Rh3 0.5000 0.5000 0.0412 [1 per cell]  7 Tb 2.82-3.06, 2 Rh 2.90

[3]
MgSbTe2C: optimized geometry, PBE-GGA.

Values from the calculation:
* N(E_F): 0.702 states/eV/atom
* uncorrected energy: -3.446 eV per atom
* formation energy without anion corrections: 0.80 eV/atom

Unit cell a=4.9162 b=4.9162 c=4.6891 alpha=90.00 beta=90.00 gamma=90.00
Last column: nearest neighbours and their distance in Å.
Space group P4/mmm (No. 123)
Symmetry-distinct sites (fractional):
Mg1 0.0000 0.0000 0.0000 [1 per cell]  8 Te 3.40, 4 Sb 3.48
Sb1 0.5000 0.5000 0.0000 [1 per cell]  2 C 2.34
Te1 0.0000 0.5000 0.5000 [2 per cell]  2 C 2.46
C1 0.5000 0.5000 0.5000 [1 per cell]  2 Sb 2.34, 4 Te 2.46

[4]
AcAs2Pb: optimized geometry, PBE-GGA.

Values from the calculation:
* ΔE_f: -0.4993 eV per atom
* N(E_F): 0.554 states/eV/atom
* uncorrected energy: -4.778 eV per atom

Unit cell a=4.0555 b=4.0555 c=6.6886 alpha=90.00 beta=90.00 gamma=90.00
Last column: nearest neighbours and their distance in Å.
Space group P4/mmm (No. 123)
Symmetry-distinct sites (fractional):
Ac1 0.0000 0.0000 0.0000 [1 per cell]  8 As 3.33, 2 Pb 3.34
As1 0.5000 0.5000 0.2536 [2 per cell]  2 As 3.30-3.39, 4 Pb 3.31, 4 Ac 3.33
Pb1 0.0000 0.0000 0.5000 [1 per cell]  8 As 3.31, 2 Ac 3.34